Entry from the Alexandria database: crystalline AcGe2Pd7 at its relaxed geometry (PBE).

Results
ΔH_f (0 K) ... -0.33 eV/atom
Size of the total moment ... 0.000 μB/f.u.

a = 4.6629 Å, b = 7.1509 Å, c = 7.1509 Å
α = 117.68°, β = 90.00°, γ = 90.00°
Atoms (fractional coordinates):
Ge 0.5000 0.3031 0.6969
Ge 0.5000 0.6969 0.3031
Pd 0.0000 0.2411 0.7589
Pd 0.5000 0.3182 0.0599
Pd 0.5000 0.9401 0.6818
Pd 0.0000 0.7589 0.2411
Pd 0.5000 0.5000 0.5000
Pd 0.5000 0.0599 0.3182
Pd 0.5000 0.6818 0.9401
Ac 0.0000 0.0000 0.0000

Entry from the Alexandria database: crystalline AlGaCu2 at its relaxed geometry (PBE).

Results
ΔH_f (0 K) ... -0.09 eV/atom
Size of the total moment ... 0.000 μB/f.u.

a = 3.2021 Å, b = 3.2021 Å, c = 5.3856 Å
α = 90.00°, β = 90.00°, γ = 90.00°
Atoms (fractional coordinates):
Cu 0.0000 0.0000 0.2428
Cu 0.0000 0.0000 0.7572
Al 0.5000 0.5000 0.0000
Ga 0.5000 0.5000 0.5000

Entry from the Alexandria database: crystalline Na6GaSi2 at its relaxed geometry (PBE).

Results
Size of the total moment ... 0.000 μB/f.u.
Formation energy from raw total energies ... 0.014 eV per atom

a = 5.2620 Å, b = 5.2620 Å, c = 9.9198 Å
α = 74.62°, β = 74.62°, γ = 60.00°
Atoms (fractional coordinates):
Na 0.2979 0.2979 0.1063
Na 0.4235 0.4235 0.7296
Na 0.8103 0.8103 0.5692
Na 0.1897 0.1897 0.4308
Na 0.7021 0.7021 0.8937
Na 0.5765 0.5765 0.2704
Ga 0.0000 0.0000 0.0000
Si 0.0841 0.0841 0.7477
Si 0.9159 0.9159 0.2523

Entry from the Alexandria database: crystalline TaN2Cl at its relaxed geometry (PBE).

Results
Size of the total moment ... 0.000 μB/f.u.
Formation energy from raw total energies ... 1.759 eV per atom

a = 6.9711 Å, b = 6.9711 Å, c = 6.9711 Å
α = 25.84°, β = 25.84°, γ = 25.84°
Atoms (fractional coordinates):
Cl 0.5000 0.5000 0.5000
N 0.0962 0.0962 0.0962
N 0.9038 0.9038 0.9038
Ta 0.0000 0.0000 0.0000